(1)
Density functional theory data (PBE) for an optimized crystal structure of Ba2AlCu2F11.

Unit cell a=7.412 b=7.412 c=14.360 alpha=90.00 beta=90.00 gamma=120.00
Fractional positions:
Ba (0.143, 0.015, 0.000)
Ba (0.508, 0.160, 0.467)
Ba (0.652, 0.492, 0.801)
Ba (0.840, 0.348, 0.134)
Ba (0.872, 0.857, 0.333)
Ba (0.985, 0.128, 0.667)
Al (0.169, 0.496, 0.872)
Al (0.327, 0.831, 0.205)
Al (0.504, 0.673, 0.538)
Cu (0.126, 0.436, 0.388)
Cu (0.310, 0.874, 0.722)
Cu (0.339, 0.322, 0.223)
Cu (0.564, 0.690, 0.055)
Cu (0.678, 0.017, 0.889)
Cu (0.983, 0.661, 0.556)
F (0.015, 0.755, 0.688)
F (0.057, 0.148, 0.181)
F (0.058, 0.767, 0.177)
F (0.065, 0.372, 0.982)
F (0.091, 0.943, 0.515)
F (0.120, 0.710, 0.889)
F (0.210, 0.559, 0.243)
F (0.233, 0.291, 0.844)
F (0.245, 0.259, 0.355)
F (0.264, 0.598, 0.752)
F (0.290, 0.411, 0.556)
F (0.307, 0.935, 0.315)
F (0.334, 0.736, 0.085)
F (0.349, 0.790, 0.576)
F (0.363, 0.145, 0.688)
F (0.402, 0.666, 0.419)
F (0.410, 0.405, 0.092)
F (0.426, 0.085, 0.150)
F (0.441, 0.651, 0.909)
F (0.533, 0.158, 0.927)
F (0.589, 0.880, 0.222)
F (0.595, 0.005, 0.759)
F (0.625, 0.467, 0.260)
F (0.628, 0.693, 0.648)
F (0.659, 0.574, 0.484)
F (0.709, 0.942, 0.510)
F (0.741, 0.985, 0.021)
F (0.783, 0.637, 0.021)
F (0.842, 0.375, 0.593)
F (0.852, 0.909, 0.848)
F (0.855, 0.217, 0.354)
F (0.915, 0.341, 0.817)
F (0.995, 0.590, 0.426)

Summary:
energy relative to the elements, uncorrected: -2944.3 meV/atom
calculated volume: 683 Å³/cell
space group: P3_2, No. 145
density: 4.7 Mg/m³

(2)
Density functional theory data (PBE) for an optimized crystal structure of BaAlCuF2.

Unit cell a=4.167 b=4.167 c=7.071 alpha=90.00 beta=90.00 gamma=90.00
Fractional positions:
Ba (0.000, 0.000, 0.000)
Al (0.000, 0.000, 0.500)
Cu (0.500, 0.500, 0.000)
F (0.000, 0.500, 0.500)
F (0.500, 0.000, 0.500)

Summary:
energy relative to the elements, uncorrected: -1099.5 meV/atom
calculated volume: 123 Å³/cell
space group: P4/mmm, No. 123
density: 3.6 Mg/m³

(3)
Density functional theory data (PBE) for an optimized crystal structure of BaAlCu2F8.

Unit cell a=5.169 b=5.169 c=7.283 alpha=90.00 beta=90.00 gamma=120.00
Fractional positions:
Ba (0.000, 0.000, 0.000)
Al (0.000, 0.000, 0.500)
Cu (0.333, 0.667, 0.679)
Cu (0.667, 0.333, 0.321)
F (0.045, 0.742, 0.351)
F (0.258, 0.302, 0.351)
F (0.302, 0.045, 0.649)
F (0.333, 0.667, 0.945)
F (0.667, 0.333, 0.055)
F (0.698, 0.955, 0.351)
F (0.742, 0.698, 0.649)
F (0.955, 0.258, 0.649)

Summary:
energy relative to the elements, uncorrected: -2631.9 meV/atom
calculated volume: 169 Å³/cell
space group: P-3, No. 147
density: 4.4 Mg/m³